First-principles (PBE) data for crystalline AlFeTe2 at its relaxed geometry, as listed in the Alexandria database.

Properties
**SG**: No. 119
**Theoretical density**: 5.05 Mg/m³
**Formation energy from raw total energies**: 1.6 eV/f.u.
**Total magnetic moment**: 3.4 Bohr magnetons per cell

a = 7.943 Å, b = 7.943 Å, c = 7.943 Å
α = 151.87°, β = 151.87°, γ = 40.21°
Each line ends with the local moment (μB).
Fractional positions:
Te: 0.000 0.000 0.000  0.03
Te: 0.250 0.750 0.500  0.10
Fe: 0.750 0.250 0.500  3.04
Al: 0.500 0.500 0.000  -0.01

=====

First-principles (PBE) data for crystalline Hf2RuAu at its relaxed geometry, as listed in the Alexandria database.

Properties
**SG**: No. 123
**Theoretical density**: 14.76 Mg/m³
**Total magnetic moment**: 0.0 Bohr magnetons per cell
**Calculated formation energy**: -601 meV/atom

a = 3.236 Å, b = 3.236 Å, c = 7.034 Å
α = 90.00°, β = 90.00°, γ = 90.00°
Fractional positions:
Hf: 0.000 0.000 0.767
Hf: 0.000 0.000 0.233
Au: 0.500 0.500 0.500
Ru: 0.500 0.500 0.000

=====

First-principles (PBE) data for crystalline Ta3Te4Se2 at its relaxed geometry, as listed in the Alexandria database.

Properties
**SG**: No. 156
**Theoretical density**: 7.98 Mg/m³
**Formation energy from raw total energies**: -4.2 eV/f.u.
**Total magnetic moment**: 0.9 Bohr magnetons per cell

a = 3.609 Å, b = 3.609 Å, c = 22.339 Å
α = 90.00°, β = 90.00°, γ = 120.00°
Each line ends with the local moment (μB).
Fractional positions:
Ta: 0.000 0.000 0.976  0.01
Ta: 0.000 0.000 0.325  0.25
Ta: 0.667 0.333 0.657  0.24
Te: 0.000 0.000 0.573  0.01
Te: 0.667 0.333 0.409  0.01
Te: 0.667 0.333 0.241  0.02
Te: 0.000 0.000 0.741  0.02
Se: 0.667 0.333 0.050  0.00
Se: 0.667 0.333 0.903  0.00

=====

Question: total magnetic moment of number 3 (Ta3Te4Se2)?
Answer: 0.9 Bohr magnetons per cell